Here is an optimized crystal structure of BiPb4 from Alexandria via LeMat-Bulk. Energies are from GGA-PBEsol.

Structure (CIF):
```
data_BiPb4
_space_group_name_H-M_alt 'P 1'
_space_group_IT_number 1
_cell_length_a 14.397
_cell_length_b 14.397
_cell_length_c 14.397
_cell_angle_alpha 13.87
_cell_angle_beta 13.87
_cell_angle_gamma 13.87
loop_
_space_group_symop_operation_xyz
'x,y,z'
loop_
_atom_site_label
_atom_site_fract_x
_atom_site_fract_y
_atom_site_fract_z
_atom_site_occupancy
Bi1 0.000 0.000 0.000 1
Pb1 0.200 0.200 0.200 1
Pb2 0.400 0.400 0.400 1
Pb3 0.600 0.600 0.600 1
Pb4 0.800 0.800 0.800 1
```

## Properties
* M_tot: 0.00 μB/f.u.
* Fermi-level density of states: 2.812 states/eV/f.u.
* mass density: 11.54 Mg/m³
* formation energy from the elements: 0.019 eV/atom